Entry 1:
YbSb6 | Alexandria via LeMat-Bulk | GGA-PBE | relaxed; space group = Im-3m (229); calculated volume = 42.6 Å³/atom; DFT total energy = -3.445 eV per atom; magnetization = 0.0322 μB per atom
1.0
8.4173 0.0000 0.0000
0.0000 8.4173 0.0000
0.0000 0.0000 8.4173
Yb Sb
2 12
Direct
0.0000 0.0000 0.0000 Yb
0.5000 0.5000 0.5000 Yb
0.0000 0.2500 0.5000 Sb
0.0000 0.5000 0.2500 Sb
0.0000 0.5000 0.7500 Sb
0.0000 0.7500 0.5000 Sb
0.2500 0.0000 0.5000 Sb
0.2500 0.5000 0.0000 Sb
0.5000 0.0000 0.2500 Sb
0.5000 0.0000 0.7500 Sb
0.5000 0.2500 0.0000 Sb
0.5000 0.7500 0.0000 Sb
0.7500 0.0000 0.5000 Sb
0.7500 0.5000 0.0000 Sb

Entry 2:
ErSc4Al4 | Alexandria via LeMat-Bulk | GGA-PBE | relaxed; space group = P4_2/n (86); calculated volume = 21.6 Å³/atom; formation energy from the elements = -185 meV per atom; DFT total energy = -5.170 eV per atom; magnetization = 0.0000 μB per atom
1.0
8.4770 0.0000 0.0000
0.0000 8.4770 0.0000
0.0000 0.0000 5.4062
Er Sc Al
2 8 8
Direct
0.2500 0.2500 0.2500 Er
0.7500 0.7500 0.7500 Er
0.0947 0.8203 0.6397 Sc
0.1797 0.5947 0.1397 Sc
0.3203 0.9053 0.1397 Sc
0.4053 0.6797 0.6397 Sc
0.5947 0.3203 0.3603 Sc
0.6797 0.0947 0.8603 Sc
0.8203 0.4053 0.8603 Sc
0.9053 0.1797 0.3603 Sc
0.0428 0.1411 0.8408 Al
0.1411 0.4572 0.6592 Al
0.3589 0.0428 0.6592 Al
0.4572 0.3589 0.8408 Al
0.5428 0.6411 0.1592 Al
0.6411 0.9572 0.3408 Al
0.8589 0.5428 0.3408 Al
0.9572 0.8589 0.1592 Al

Entry 3:
Ac2Cd9Pb | Alexandria via LeMat-Bulk | GGA-PBE | relaxed; space group = R-3m (166); calculated volume = 27.3 Å³/atom; formation energy from the elements = -133 meV per atom; DFT total energy = -1.813 eV per atom; magnetization = 0.0000 μB per atom
1.0
3.1488 1.8179 9.5523
-3.1488 1.8179 9.5523
0.0000 -3.6359 9.5523
Ac Cd Pb
2 9 1
Direct
0.1389 0.1389 0.1389 Ac
0.8611 0.8611 0.8611 Ac
0.0759 0.5875 0.5875 Cd
0.3354 0.3354 0.3354 Cd
0.4125 0.4125 0.9241 Cd
0.4125 0.9241 0.4125 Cd
0.5000 0.5000 0.5000 Cd
0.5875 0.0759 0.5875 Cd
0.5875 0.5875 0.0759 Cd
0.6646 0.6646 0.6646 Cd
0.9241 0.4125 0.4125 Cd
0.0000 0.0000 0.0000 Pb

What is the magnetization in the first record?
0.0322 μB per atom